## Nd2SnO4 (PBE-GGA)

Data for crystalline Nd2SnO4 at its relaxed geometry.

- total DFT energy (no corrections) (eV/atom) = -7.4070
- calculated volume (A^3/atom) = 16.75

CIF file:
```
data_Nd2SnO4
_cell_length_a 7.400
_cell_length_b 7.400
_cell_length_c 10.755
_cell_angle_alpha 123.55
_cell_angle_beta 123.55
_cell_angle_gamma 29.00
_symmetry_space_group_name_H-M 'P 1'
_symmetry_Int_Tables_number 1
_symmetry_space_group_name_Hall 'P 1'
loop_
_atom_site_label
_atom_site_type_symbol
_atom_site_fract_x
_atom_site_fract_y
_atom_site_fract_z
_atom_site_occupancy
O1 O 0.266 0.266 0.664 1
O2 O 0.047 0.047 0.315 1
O3 O 0.953 0.953 0.685 1
O4 O 0.207 0.207 0.060 1
O5 O 0.416 0.416 0.348 1
O6 O 0.584 0.584 0.652 1
O7 O 0.734 0.734 0.336 1
O8 O 0.793 0.793 0.940 1
Nd1 Nd 0.159 0.159 0.814 1
Nd2 Nd 0.386 0.386 0.534 1
Nd3 Nd 0.841 0.841 0.186 1
Nd4 Nd 0.614 0.614 0.466 1
Sn1 Sn 0.118 0.118 0.171 1
Sn2 Sn 0.882 0.882 0.829 1
```